Computed, not measured: PmH3Pd3 after structural relaxation at the PBE level of DFT.

Unit cell a=6.445 b=6.445 c=5.999 alpha=57.51 beta=57.51 gamma=60.00
Atoms (fractional coordinates):
Pm 0.267 0.267 0.199
Pm 0.733 0.733 0.801
H 0.452 0.452 0.287
H 0.809 0.452 0.287
H 0.452 0.809 0.287
H 0.548 0.191 0.713
H 0.191 0.548 0.713
H 0.548 0.548 0.713
Pd 0.232 0.796 0.740
Pd 0.796 0.232 0.740
Pd 0.232 0.232 0.740
Pd 0.768 0.768 0.260
Pd 0.204 0.768 0.260
Pd 0.768 0.204 0.260

Output
- energy above the lowest structure with this stoichiometry (meV/atom) = 97.5
- energy (eV per cell) = -66.4
- DOS(E_F) (states/eV per atom) = 0.454
- total magnetization (μB/f.u.) = 0.000
- symmetry = R-3m